VASP calculation (PBE) on a relaxed structure of Na3Ho3CrSe8.

Cell lengths 7.9757, 7.9842, 8.5452 Å; angles 117.91, 90.00, 119.96 degrees
With the nearest neighbours (Å) after each atom.
Atoms (fractional coordinates):
Na 0.0000 0.0000 0.0000  6 Se 3.01-3.03
Na 0.0000 0.5000 0.0000  6 Se 3.01-3.03
Na 0.5000 0.5000 0.0000  6 Se 3.01-3.03
Ho 0.5000 0.0000 0.5000  6 Se 2.84-2.85
Ho 0.5000 0.5000 0.5000  6 Se 2.84-2.85
Ho 0.0000 0.5000 0.5000  6 Se 2.84-2.85
Cr 0.0000 0.0000 0.5000  6 Se 2.61
Se 0.2565 0.5129 0.2694  3 Ho 2.84, 3 Na 3.01
Se 0.7435 0.4871 0.7306  3 Ho 2.84, 3 Na 3.01
Se 0.7762 0.5525 0.2873  1 Cr 2.61, 2 Ho 2.85
Se 0.2238 0.4475 0.7127  1 Cr 2.61, 2 Ho 2.85
Se 0.7763 0.0110 0.2873  1 Cr 2.61, 2 Ho 2.85
Se 0.2237 0.9890 0.7127  1 Cr 2.61, 2 Ho 2.85
Se 0.2347 0.0110 0.2873  1 Cr 2.61, 2 Ho 2.85
Se 0.7653 0.9890 0.7127  1 Cr 2.61, 2 Ho 2.85

Results
Volume = 26.447 Å³/atom
E_tot = -5.065 eV/atom
Energy relative to the elements, uncorrected = -1.386 eV/atom